Record 1
## InAg2W (PBE)

Data for a relaxed InAg2W crystal.

The structure belongs to space group P4/mmm (No. 123); the cell edges are 4.7799, 4.7799 and 3.1908 Å and the angles 90.00°, 90.00° and 90.00°. Symmetry generates all atoms from In at (0.0000, 0.0000, 0.0000), Ag at (0.0000, 0.5000, 0.5000) and W at (0.5000, 0.5000, 0.0000).

For the formation enthalpy at 0 K, the calculation gives 0.741 eV per atom. For the total energy, the calculation gives -0.33866 Ry/atom.

Record 2
## InAg2W (PBE)

Data for a relaxed InAg2W crystal.

The structure belongs to space group R3m (No. 160, hexagonal axes); the cell edges are 2.9522, 2.9522 and 29.0858 Å and the angles 90.00°, 90.00° and 120.00°. Symmetry generates all atoms from In at (0.0000, 0.0000, 0.0000), Ag at (0.0000, 0.0000, 0.2471), Ag at (0.0000, 0.0000, 0.4979) and W at (0.0000, 0.0000, 0.7506).

For the formation enthalpy at 0 K, the calculation gives 0.424 eV per atom. For the total energy, the calculation gives -0.36193 Ry/atom.

Record 3
## InAg2W (PBE)

Data for a relaxed InAg2W crystal.

The structure belongs to space group P2/m (No. 10); the cell edges are 2.8400, 4.9555 and 5.2230 Å and the angles 90.00°, 93.04° and 90.00°. Symmetry generates all atoms from In at (0.0000, 0.0000, 0.0000), Ag at (0.2151, 0.5000, 0.7386) and W at (0.5000, 0.0000, 0.5000).

For the formation enthalpy at 0 K, the calculation gives 0.554 eV per atom. For the total energy, the calculation gives -0.35239 Ry/atom.

| no. | M_tot (μB per atom) |
| --- | --- |
| 1 | 0.08 |
| 2 | 0.00 |
| 3 | 0.00 |